1.
Compound: Y2TcAg
Source: Alexandria via LeMat-Bulk
Functional: meta-GGA SCAN
Structure: single point on PBEsol structure

a b c (Å): 3.4312 4.2182 6.0196
angles (deg): 90.00 90.00 90.00
Closest atoms and distances in Å follow each position.
Space group Pmm2 (No. 25)
Unique sites:
Y (0.0000, 0.0000, 0.0000) (multiplicity 1)  1 Ag 2.76, 4 Tc 2.85
Y (0.5000, 0.5000, 0.3595) (multiplicity 1)  4 Ag 2.93, 2 Tc 2.99-3.03
Tc (0.5000, 0.5000, 0.8569) (multiplicity 1)  6 Y 2.85-3.03
Ag (0.0000, 0.0000, 0.5418) (multiplicity 1)  5 Y 2.76-2.93

Properties
The value obtained for the density of states at the Fermi level is 1.995 states/eV/cell. The uncorrected energy comes out at -30.358 eV/atom. Its volume is 87 Å³ per cell. Its magnetic moment is 0.00 μB/f.u.

***

2.
Compound: CrIr4Pb
Source: Alexandria via LeMat-Bulk
Functional: meta-GGA SCAN
Structure: single point on PBEsol structure

a b c (Å): 7.3712 7.3712 7.3712
angles (deg): 90.00 90.00 90.00
Closest atoms and distances in Å follow each position.
Space group F-43m (No. 216)
Unique sites:
Cr (0.0000, 0.0000, 0.0000) (multiplicity 4)  12 Ir 3.06, 4 Pb 3.19
Ir (0.1254, 0.1254, 0.6254) (multiplicity 16)  6 Ir 2.60-2.61
Pb (0.2500, 0.2500, 0.2500) (multiplicity 4)  12 Ir 3.06, 4 Cr 3.19

Properties
The value obtained for the density of states at the Fermi level is 33.757 states/eV/cell. The uncorrected energy comes out at -62.665 eV/atom. Its volume is 401 Å³ per cell. Its magnetic moment is 2.55 μB/f.u.

***

3.
Compound: Ba2IrCl
Source: Alexandria via LeMat-Bulk
Functional: meta-GGA SCAN
Structure: single point on PBEsol structure

a b c (Å): 7.5603 7.5603 7.5603
angles (deg): 90.00 90.00 90.00
Closest atoms and distances in Å follow each position.
Space group Fm-3m (No. 225)
Unique sites:
Ba (0.2500, 0.2500, 0.2500) (multiplicity 8)  4 Cl 3.27, 4 Ir 3.27
Ir (0.0000, 0.0000, 0.0000) (multiplicity 4)  8 Ba 3.27
Cl (0.0000, 0.0000, 0.5000) (multiplicity 4)  8 Ba 3.27

Properties
Its excess energy over the best structure of this formula in the dataset is 96 meV per atom. Its volume is 432 Å³ per cell. Its formation energy without anion corrections is -372.1 kJ/mol of formula units. Its magnetic moment is 0.00 μB/f.u.

***

4.
Compound: PtAu3
Source: Alexandria via LeMat-Bulk
Functional: meta-GGA SCAN
Structure: single point on PBEsol structure

a b c (Å): 2.8029 9.5775 4.8972
angles (deg): 90.00 90.00 90.00
Closest atoms and distances in Å follow each position.
Space group Imm2 (No. 44)
Unique sites:
Pt (0.0000, 0.0000, 0.0000) (multiplicity 2)  2 Pt 2.80, 10 Au 2.80-2.93
Au (0.0000, 0.2539, 0.6657) (multiplicity 4)  9 Au 2.80-2.92, 3 Pt 2.86-2.93
Au (0.0000, 0.5000, 0.0041) (multiplicity 2)  8 Au 2.80-2.92, 4 Pt 2.80-2.84

Properties
The value obtained for the density of states at the Fermi level is 2.671 states/eV/cell. The uncorrected energy comes out at -69.353 eV/atom. Its volume is 131 Å³ per cell. Its magnetic moment is 0.00 μB/f.u.

***

5.
Compound: TmMgCd2
Source: Alexandria via LeMat-Bulk
Functional: meta-GGA SCAN
Structure: single point on PBEsol structure

a b c (Å): 7.0356 7.0356 7.0356
angles (deg): 90.00 90.00 90.00
Closest atoms and distances in Å follow each position.
Space group Fm-3m (No. 225)
Unique sites:
Tm (0.0000, 0.0000, 0.0000) (multiplicity 4)  8 Cd 3.05
Mg (0.0000, 0.0000, 0.5000) (multiplicity 4)  8 Cd 3.05
Cd (0.2500, 0.2500, 0.2500) (multiplicity 8)  4 Mg 3.05, 4 Tm 3.05

Properties
The value obtained for the density of states at the Fermi level is 3.991 states/eV/cell. The uncorrected energy comes out at -29.805 eV/atom. Its volume is 348 Å³ per cell. Its magnetic moment is 0.00 μB/f.u.

***

6.
Compound: LiIn2Ni
Source: Alexandria via LeMat-Bulk
Functional: meta-GGA SCAN
Structure: single point on PBEsol structure

a b c (Å): 3.3712 3.3712 5.9281
angles (deg): 90.00 90.00 90.00
Closest atoms and distances in Å follow each position.
Space group P4mm (No. 99)
Unique sites:
Li (0.0000, 0.0000, 0.0000) (multiplicity 1)  5 In 2.54-2.75, 4 Ni 2.74
In (0.0000, 0.0000, 0.4287) (multiplicity 1)  1 Li 2.54, 4 Ni 2.66
In (0.5000, 0.5000, 0.7702) (multiplicity 1)  1 Ni 2.72, 4 Li 2.75
Ni (0.5000, 0.5000, 0.2287) (multiplicity 1)  5 In 2.66-2.72, 4 Li 2.74

Properties
The value obtained for the density of states at the Fermi level is 1.390 states/eV/cell. The uncorrected energy comes out at -21.393 eV/atom. Its volume is 67 Å³ per cell. Its magnetic moment is 0.00 μB/f.u.

***

7.
Compound: Mg2FeBr
Source: Alexandria via LeMat-Bulk
Functional: meta-GGA SCAN
Structure: single point on PBEsol structure

a b c (Å): 3.2668 3.2668 24.7796
angles (deg): 90.00 90.00 120.00
Closest atoms and distances in Å follow each position.
Space group R-3m (No. 166, hexagonal axes)
Unique sites:
Mg (0.0000, 0.0000, 0.2462) (multiplicity 6)  3 Fe 2.73, 3 Br 2.87
Fe (0.0000, 0.0000, 0.5000) (multiplicity 3)  6 Mg 2.73
Br (0.0000, 0.0000, 0.0000) (multiplicity 3)  6 Mg 2.87

Properties
Its excess energy over the best structure of this formula in the dataset is 0 meV per atom. The value obtained for the density of states at the Fermi level is 3.735 states/eV/cell. Its volume is 229 Å³ per cell. Its formation energy without anion corrections is -34.8 kJ/mol of formula units. Its magnetic moment is 2.92 μB/f.u.

***

8.
Compound: HfMgBr3
Source: Alexandria via LeMat-Bulk
Functional: meta-GGA SCAN
Structure: single point on PBEsol structure

a b c (Å): 5.2232 5.2232 5.2232
angles (deg): 90.00 90.00 90.00
Closest atoms and distances in Å follow each position.
Space group Pm-3m (No. 221)
Unique sites:
Hf (0.0000, 0.0000, 0.0000) (multiplicity 1)  6 Br 2.61
Mg (0.5000, 0.5000, 0.5000) (multiplicity 1)  12 Br 3.69
Br (0.0000, 0.0000, 0.5000) (multiplicity 3)  2 Hf 2.61

Properties
The value obtained for the density of states at the Fermi level is 3.886 states/eV/cell. Its volume is 142 Å³ per cell. Its formation energy without anion corrections is -268.9 kJ/mol of formula units. Its magnetic moment is 0.00 μB/f.u.

***

9.
Compound: SiPtS2Cl
Source: Alexandria via LeMat-Bulk
Functional: meta-GGA SCAN
Structure: single point on PBEsol structure

a b c (Å): 4.5050 4.5050 4.2483
angles (deg): 90.00 90.00 90.00
Closest atoms and distances in Å follow each position.
Space group P4/mmm (No. 123)
Unique sites:
Si (0.0000, 0.0000, 0.0000) (multiplicity 1)  2 Cl 2.12, 4 S 2.25
Pt (0.5000, 0.5000, 0.5000) (multiplicity 1)  8 S 3.10, 4 Cl 3.19
S (0.0000, 0.5000, 0.0000) (multiplicity 2)  2 Si 2.25
Cl (0.0000, 0.0000, 0.5000) (multiplicity 1)  2 Si 2.12

Properties
The value obtained for the density of states at the Fermi level is 3.359 states/eV/cell. Its volume is 86 Å³ per cell. Its formation energy without anion corrections is 300.3 kJ/mol of formula units. Its magnetic moment is 0.00 μB/f.u.

***

10.
Compound: LaIn2Sb
Source: Alexandria via LeMat-Bulk
Functional: meta-GGA SCAN
Structure: single point on PBEsol structure

a b c (Å): 3.2653 5.3576 6.1422
angles (deg): 90.00 90.00 90.00
Closest atoms and distances in Å follow each position.
Space group Pmm2 (No. 25)
Unique sites:
La (0.0000, 0.0000, 0.0000) (multiplicity 1)  2 La 3.27, 4 Sb 3.40, 8 In 3.48-3.55
In (0.5000, 0.0000, 0.5002) (multiplicity 1)  4 In 3.02-3.27, 2 Sb 3.21
In (0.5000, 0.5000, 0.7282) (multiplicity 1)  2 Sb 2.97-3.17, 4 In 3.02-3.27
Sb (0.5000, 0.5000, 0.2124) (multiplicity 1)  4 In 2.97-3.21, 2 Sb 3.27

Properties
Its excess energy over the best structure of this formula in the dataset is 158 meV per atom. The value obtained for the density of states at the Fermi level is 2.089 states/eV/cell. Its volume is 107 Å³ per cell. Its formation energy without anion corrections is -195.8 kJ/mol of formula units. Its magnetic moment is 0.36 μB/f.u.

***

11.
Compound: ScZnRh2
Source: Alexandria via LeMat-Bulk
Functional: meta-GGA SCAN
Structure: single point on PBEsol structure

a b c (Å): 3.7112 3.7112 8.4727
angles (deg): 90.00 90.00 90.00
Closest atoms and distances in Å follow each position.
Space group I-4m2 (No. 119)
Unique sites:
Sc (0.0000, 0.0000, 0.0000) (multiplicity 2)  8 Rh 2.62-2.82, 4 Zn 2.82
Zn (0.0000, 0.5000, 0.2500) (multiplicity 2)  8 Rh 2.62-2.82, 4 Sc 2.82
Rh (0.0000, 0.0000, 0.5000) (multiplicity 2)  4 Sc 2.62, 4 Rh 2.82, 4 Zn 2.82
Rh (0.0000, 0.5000, 0.7500) (multiplicity 2)  4 Zn 2.62, 4 Rh 2.82, 4 Sc 2.82

Properties
The value obtained for the density of states at the Fermi level is 8.682 states/eV/cell. The uncorrected energy comes out at -24.484 eV/atom. Its volume is 117 Å³ per cell. Its magnetic moment is 0.00 μB/f.u.

***

12.
Compound: AlFeTcNi2
Source: Alexandria via LeMat-Bulk
Functional: meta-GGA SCAN
Structure: single point on PBEsol structure

a b c (Å): 4.0739 4.0739 4.2094
angles (deg): 90.00 90.00 90.00
Closest atoms and distances in Å follow each position.
Space group P4/mmm (No. 123)
Unique sites:
Al (0.0000, 0.0000, 0.0000) (multiplicity 1)  4 Ni 2.04, 2 Fe 2.10
Fe (0.0000, 0.0000, 0.5000) (multiplicity 1)  2 Al 2.10
Tc (0.5000, 0.5000, 0.5000) (multiplicity 1)  4 Fe 2.88, 8 Ni 2.93
Ni (0.0000, 0.5000, 0.0000) (multiplicity 2)  2 Al 2.04

Properties
The value obtained for the density of states at the Fermi level is 4.749 states/eV/cell. The uncorrected energy comes out at -17.587 eV/atom. Its volume is 70 Å³ per cell. Its magnetic moment is 5.55 μB/f.u.